1.
The following is a PBE calculation of a geometry-optimized Er4TlTeSe2 structure, from Alexandria via LeMat-Bulk.

The structure in POSCAR format:
```
Er4TlTeSe2
1.0
-1.924 1.238 3.381
-1.156 -7.011 1.910
5.688 -2.248 4.060
Se Te Er Tl
2 1 4 1
direct
0.500 0.000 0.500 Se
0.000 0.000 0.000 Se
0.500 0.500 0.000 Te
0.000 0.232 0.266 Er
0.500 0.765 0.248 Er
0.000 0.768 0.734 Er
0.500 0.235 0.752 Er
0.000 0.500 0.500 Tl
```

The calculation puts the uncorrected formation energy at -1.2210 eV/atom.

=====

2.
The following is a PBE calculation of a geometry-optimized ErTl2TeSe4 structure, from Alexandria via LeMat-Bulk.

The structure in POSCAR format:
```
ErTl2TeSe4
1.0
4.135 0.000 0.000
0.000 7.997 -0.241
0.000 2.736 7.117
Tl Te Se Er
2 1 4 1
direct
0.000 0.000 0.000 Tl
0.500 0.000 0.500 Tl
0.500 0.500 0.000 Te
0.000 0.697 0.765 Se
0.500 0.724 0.292 Se
0.500 0.276 0.708 Se
0.000 0.303 0.235 Se
0.000 0.500 0.500 Er
```

The calculation puts the uncorrected formation energy at -0.7053 eV/atom.

=====

3.
The following is a PBE calculation of a geometry-optimized Er6TlTe3Se2 structure, from Alexandria via LeMat-Bulk.

The structure in POSCAR format:
```
Er6TlTe3Se2
1.0
7.291 0.015 0.006
-3.631 6.323 0.006
-1.215 -2.104 7.039
Er Te Tl Se
6 3 1 2
direct
0.735 0.735 0.224 Er
0.416 0.076 0.228 Er
0.265 0.265 0.776 Er
0.924 0.584 0.772 Er
0.584 0.924 0.772 Er
0.076 0.416 0.228 Er
0.500 0.500 0.500 Te
0.165 0.835 0.500 Te
0.835 0.165 0.500 Te
0.000 0.000 0.000 Tl
0.667 0.333 0.000 Se
0.333 0.667 0.000 Se
```

The calculation puts the uncorrected formation energy at -1.2487 eV/atom.

=====

4.
The following is a PBE calculation of a geometry-optimized ErUTeSe2 structure, from Alexandria via LeMat-Bulk.

The structure in POSCAR format:
```
ErUTeSe2
1.0
4.566 0.000 0.000
0.000 4.566 0.000
-2.283 -2.283 6.882
Se Te U Er
2 1 1 1
direct
0.751 0.251 0.503 Se
0.251 0.751 0.503 Se
0.506 0.506 0.012 Te
0.126 0.126 0.252 U
0.865 0.865 0.730 Er
```

The calculation puts the uncorrected formation energy at -0.9425 eV/atom.

=====

5.
The following is a PBE calculation of a geometry-optimized YErTeSe2 structure, from Alexandria via LeMat-Bulk.

The structure in POSCAR format:
```
YErTeSe2
1.0
4.625 0.000 0.000
0.000 4.625 0.000
-2.313 -2.313 6.989
Te Er Y Se
1 1 1 2
direct
0.500 0.500 0.001 Te
0.858 0.858 0.717 Er
0.139 0.139 0.278 Y
0.251 0.751 0.502 Se
0.751 0.251 0.502 Se
```

The calculation puts the uncorrected formation energy at -1.3075 eV/atom.

=====

6.
The following is a PBE calculation of a geometry-optimized YErTeSe structure, from Alexandria via LeMat-Bulk.

The structure in POSCAR format:
```
YErTeSe
1.0
4.092 -0.001 0.000
-2.046 3.544 0.000
-2.046 -1.181 7.241
Er Te Se Y
1 1 1 1
direct
0.115 0.955 0.085 Er
0.965 0.380 0.361 Te
0.309 0.552 0.876 Se
0.489 0.143 0.647 Y
```

The calculation puts the uncorrected formation energy at -1.5519 eV/atom.